Entry 1:
Computed, not measured: an optimized crystal structure of Sc2TlAu at the PBE level of DFT.

calculated density	9.44	Mg/m³
uncorrected energy	-5.120	eV/atom
formation enthalpy at 0 K	-543	meV per atom
space-group type	Pmmm (47)

abc: 3.4242 3.4783 7.2583
angles: 90.00 90.00 90.00
Last column: nearest neighbours and their distance in Å.
Sites, in units of the cell vectors:
Sc: 0.0000 0.0000 0.2276  4 Au 2.95, 4 Tl 3.14
Sc: 0.0000 0.0000 0.7724  4 Au 2.95, 4 Tl 3.14
Tl: 0.5000 0.5000 0.5000  8 Sc 3.14, 4 Tl 3.42-3.48
Au: 0.5000 0.5000 0.0000  8 Sc 2.95

Entry 2:
Computed, not measured: an optimized crystal structure of MgCrIn2 at the PBE level of DFT.

calculated density	6.15	Mg/m³
uncorrected energy	-3.999	eV/atom
formation enthalpy at 0 K	175	meV per atom
space-group type	P2/m (10)

abc: 3.1916 4.1889 6.1762
angles: 90.00 90.37 90.00
Last column: nearest neighbours and their distance in Å.
Sites, in units of the cell vectors:
Mg: 0.0000 0.0000 0.0000  8 In 3.08, 2 Cr 3.09, 2 Mg 3.19
Cr: 0.0000 0.0000 0.5000  8 In 3.02-3.03, 2 Mg 3.09, 2 Cr 3.19
In: 0.4982 0.5000 0.7409  4 In 2.98-3.20, 4 Cr 3.02-3.03, 4 Mg 3.08
In: 0.5018 0.5000 0.2591  4 In 2.98-3.20, 4 Cr 3.02-3.03, 4 Mg 3.08

Entry 3:
Computed, not measured: an optimized crystal structure of BaTeSe2O8 at the PBE level of DFT.

calculated density	4.51	Mg/m³
formation energy from raw total energies	-1066	meV per atom
uncorrected energy	-5.374	eV/atom
space-group type	C2/m (12)

abc: 6.5078 6.5078 6.9689
angles: 115.08 115.08 51.20
Last column: nearest neighbours and their distance in Å.
Sites, in units of the cell vectors:
Ba: 0.0000 0.0000 0.0000  2 O 2.68
Te: 0.5000 0.5000 0.5000  4 O 2.23
Se: 0.2054 0.2054 0.6839  4 O 1.65-1.73
Se: 0.7946 0.7946 0.3161  4 O 1.65-1.73
O: 0.1030 0.6386 0.2594  1 Se 1.73
O: 0.1706 0.1706 0.4246  1 Se 1.66
O: 0.3613 0.3613 0.8579  1 Se 1.65
O: 0.3614 0.8970 0.7406  1 Se 1.73
O: 0.6386 0.1030 0.2594  1 Se 1.73
O: 0.6387 0.6387 0.1421  1 Se 1.65
O: 0.8294 0.8294 0.5754  1 Se 1.66
O: 0.8970 0.3614 0.7406  1 Se 1.73

Entry 4:
Computed, not measured: an optimized crystal structure of K3Y3TaO8 at the PBE level of DFT.

calculated density	4.54	Mg/m³
formation energy from raw total energies	-2714	meV per atom
uncorrected energy	-7.661	eV/atom
space-group type	R-3m (166)

abc: 7.4600 7.4600 7.4600
angles: 54.12 54.12 54.12
Last column: nearest neighbours and their distance in Å.
Sites, in units of the cell vectors:
K: 0.0000 0.5000 0.5000  6 O 2.77-2.80
K: 0.5000 0.0000 0.5000  6 O 2.77-2.80
K: 0.5000 0.5000 0.0000  6 O 2.77-2.80
Y: 0.0000 0.0000 0.5000  6 O 2.30-2.34
Y: 0.0000 0.5000 0.0000  6 O 2.30-2.34
Y: 0.5000 0.0000 0.0000  6 O 2.30-2.34
Ta: 0.5000 0.5000 0.5000  6 O 2.07
O: 0.2304 0.2304 0.2304  3 Y 2.30
O: 0.2582 0.7068 0.7068  1 Ta 2.07
O: 0.2932 0.2932 0.7418  1 Ta 2.07
O: 0.2932 0.7418 0.2932  1 Ta 2.07
O: 0.7068 0.2582 0.7068  1 Ta 2.07
O: 0.7068 0.7068 0.2582  1 Ta 2.07
O: 0.7418 0.2932 0.2932  1 Ta 2.07
O: 0.7696 0.7696 0.7696  3 Y 2.30

Entry 5:
Computed, not measured: an optimized crystal structure of Pd3RuPt7 at the PBE level of DFT.

calculated density	15.91	Mg/m³
uncorrected energy	-5.800	eV/atom
formation enthalpy at 0 K	303	meV per atom
space-group type	C2/m (12)

abc: 6.7299 6.7299 4.7778
angles: 110.73 110.73 91.52
Last column: nearest neighbours and their distance in Å.
Sites, in units of the cell vectors:
Pd: 0.0000 0.0000 0.0000  8 Pt 2.77-2.79
Pd: 0.2344 0.7656 0.5000  9 Pt 2.56-2.75
Pd: 0.7656 0.2344 0.5000  9 Pt 2.56-2.75
Ru: 0.5000 0.5000 0.0000  4 Pt 2.39-2.63
Pt: 0.0877 0.5811 0.8341  4 Pt 2.68-2.75, 4 Pd 2.71-2.79, 1 Ru 2.73
Pt: 0.1747 0.1747 0.6725  1 Ru 2.63, 4 Pd 2.67-2.78, 3 Pt 2.71-2.83
Pt: 0.4189 0.9123 0.1659  4 Pt 2.68-2.75, 4 Pd 2.71-2.79, 1 Ru 2.73
Pt: 0.5000 0.5000 0.5000  2 Ru 2.39, 2 Pd 2.56
Pt: 0.5811 0.0877 0.8341  4 Pt 2.68-2.75, 4 Pd 2.71-2.79, 1 Ru 2.73
Pt: 0.8253 0.8253 0.3275  1 Ru 2.63, 4 Pd 2.67-2.78, 3 Pt 2.71-2.83
Pt: 0.9123 0.4189 0.1659  4 Pt 2.68-2.75, 4 Pd 2.71-2.79, 1 Ru 2.73

Entry 6:
Computed, not measured: an optimized crystal structure of TbCd8Ag2 at the PBE level of DFT.

calculated density	8.13	Mg/m³
uncorrected energy	-1.609	eV/atom
formation enthalpy at 0 K	-4	meV per atom
space-group type	C2/m (12)

abc: 7.5313 7.5313 5.3173
angles: 100.09 100.09 114.34
Last column: nearest neighbours and their distance in Å.
Sites, in units of the cell vectors:
Tb: 0.0000 0.0000 0.0000  8 Cd 3.11-3.30
Cd: 0.0850 0.3197 0.6295  2 Ag 2.88-2.89, 3 Cd 2.97-3.14
Cd: 0.2475 0.7525 0.0000  2 Ag 2.77
Cd: 0.3197 0.0850 0.6295  2 Ag 2.88-2.89, 3 Cd 2.97-3.14
Cd: 0.4020 0.4020 0.1950  2 Ag 2.89, 2 Cd 3.00-3.12, 1 Tb 3.11
Cd: 0.5980 0.5980 0.8050  2 Ag 2.89, 2 Cd 3.00-3.12, 1 Tb 3.11
Cd: 0.6803 0.9150 0.3705  2 Ag 2.88-2.89, 3 Cd 2.97-3.14
Cd: 0.7525 0.2475 0.0000  2 Ag 2.77
Cd: 0.9150 0.6803 0.3705  2 Ag 2.88-2.89, 3 Cd 2.97-3.14
Ag: 0.3080 0.6920 0.5000  8 Cd 2.77-2.89
Ag: 0.6920 0.3080 0.5000  8 Cd 2.77-2.89

> Look up the calculated density of the second one.

6.15 Mg/m³